(1)
DFT (PBE) results for a relaxed structure of EuLu2Th.

As for the total energy: -6.51 eV/atom. For the formation energy, the calculation gives 66 kJ/mol of formula units. For the density, the calculation gives 9.4 g cm⁻³. The energy above the most stable polymorph in this dataset is 0.030 eV per atom.

Cell: 8.0329 8.0329 8.0329 Å, 90.00 90.00 90.00°
Space group Fm-3m (No. 225)
Inequivalent atoms, fractional coordinates:
Eu  0.0000  0.0000  0.0000 x4
Lu  0.2500  0.2500  0.2500 x8
Th  0.0000  0.0000  0.5000 x4

***

(2)
DFT (PBE) results for a relaxed structure of CaMnGa.

As for the total energy: -4.64 eV/atom. For the formation energy, the calculation gives 28 kJ/mol of formula units. For the density, the calculation gives 4.1 g cm⁻³.

Cell: 3.3936 3.7238 5.2938 Å, 90.00 90.00 90.00°
Space group Pmmm (No. 47)
Inequivalent atoms, fractional coordinates:
Ca  0.0000  0.0000  0.0000 x1
Mn  0.5000  0.0000  0.5000 x1
Ga  0.0000  0.5000  0.5000 x1

***

(3)
DFT (PBE) results for a relaxed structure of LiAl2W.

As for the total energy: -5.45 eV/atom. For the formation energy, the calculation gives 51 kJ/mol of formula units. For the density, the calculation gives 6.3 g cm⁻³. The energy above the most stable polymorph in this dataset is 0.218 eV per atom.

Cell: 2.7200 2.7200 8.6816 Å, 90.00 90.00 90.00°
Space group P4mm (No. 99)
Inequivalent atoms, fractional coordinates:
Li  0.0000  0.0000  0.0000 x1
Al  0.0000  0.0000  0.4928 x1
Al  0.5000  0.5000  0.7391 x1
W  0.5000  0.5000  0.2626 x1

***

(4)
DFT (PBE) results for a relaxed structure of Rb2AsBr6N.

As for the total energy: -2.90 eV/atom. The formation energy from raw total energies comes out at -0.407 eV/atom. For the density, the calculation gives 4.0 g cm⁻³.

Cell: 7.2479 7.2479 11.8137 Å, 90.00 90.00 90.00°
Space group I4/mmm (No. 139)
Inequivalent atoms, fractional coordinates:
Rb  0.0000  0.5000  0.2500 x4
As  0.0000  0.0000  0.0000 x2
Br  0.0000  0.0000  0.2242 x4
Br  0.2421  0.2421  0.5000 x8
N  0.0000  0.0000  0.5000 x2

***

(5)
DFT (PBE) results for a relaxed structure of LaCe3.

As for the total energy: -5.41 eV/atom. For the formation energy, the calculation gives 104 kJ/mol of formula units. For the density, the calculation gives 7.4 g cm⁻³.

Cell: 7.9392 7.9392 7.9392 Å, 90.00 90.00 90.00°
Space group Fm-3m (No. 225)
Inequivalent atoms, fractional coordinates:
La  0.0000  0.0000  0.0000 x4
Ce  0.0000  0.0000  0.5000 x4
Ce  0.2500  0.2500  0.2500 x8

***

(6)
DFT (PBE) results for a relaxed structure of Pm4Pr2DyEr2.

As for the total energy: -4.68 eV/atom. For the formation energy, the calculation gives 19 kJ/mol of formula units. For the density, the calculation gives 7.5 g cm⁻³.

Cell: 15.3992 5.1313 8.0704 Å, 90.00 108.60 90.00°
Space group C2/m (No. 12)
Inequivalent atoms, fractional coordinates:
Pm  0.0555  0.0000  0.3298 x4
Pm  0.2213  0.5000  0.3299 x4
Pr  0.1117  0.5000  0.6693 x4
Dy  0.0000  0.5000  0.0000 x2
Er  0.1667  0.0000  0.0002 x4